First-principles (GGA-PBE) data for a geometry-optimized Cr2GaReH structure, as listed in the Alexandria database.

Computed properties:
M_tot ... 2.1 μB/f.u.
Total DFT energy (no corrections) ... -7.45 eV/atom

a = 3.815 Å, b = 3.815 Å, c = 3.837 Å
α = 90.00°, β = 90.00°, γ = 90.00°
Element x y z (fractional)
Cr (0.000, 0.500, 0.000)
Cr (0.500, 0.000, 0.000)
Ga (0.000, 0.000, 0.500)
Re (0.500, 0.500, 0.500)
H (0.500, 0.500, 0.000)

=====

First-principles (GGA-PBE) data for a geometry-optimized Li2TaAu structure, as listed in the Alexandria database.

Computed properties:
M_tot ... 0.0 μB/f.u.
Energy of formation from the pure elements ... 0.246 eV/atom
Offset from the most stable computed form ... 0.237 eV per atom

a = 5.340 Å, b = 5.340 Å, c = 2.677 Å
α = 90.00°, β = 90.00°, γ = 117.20°
Element x y z (fractional)
Li (0.000, 0.500, 0.000)
Li (0.500, 0.000, 0.000)
Ta (0.000, 0.000, 0.500)
Au (0.500, 0.500, 0.500)

=====

First-principles (GGA-PBE) data for a geometry-optimized HfCoH2 structure, as listed in the Alexandria database.

Computed properties:
M_tot ... 0.0 μB/f.u.
Offset from the most stable computed form ... 0.000 eV per atom

a = 6.697 Å, b = 5.435 Å, c = 4.056 Å
α = 90.00°, β = 90.00°, γ = 90.00°
Element x y z (fractional)
Hf (0.173, 0.120, 0.000)
Hf (0.327, 0.620, 0.500)
Hf (0.673, 0.380, 0.000)
Hf (0.827, 0.880, 0.500)
Co (0.038, 0.663, 0.999)
Co (0.462, 0.163, 0.499)
Co (0.538, 0.837, 0.999)
Co (0.962, 0.337, 0.499)
H (0.030, 0.618, 0.605)
H (0.213, 0.241, 0.504)
H (0.287, 0.741, 0.004)
H (0.470, 0.118, 0.105)
H (0.530, 0.882, 0.605)
H (0.713, 0.259, 0.504)
H (0.787, 0.759, 0.004)
H (0.970, 0.382, 0.105)

=====

First-principles (GGA-PBE) data for a geometry-optimized Sc2ZnSb structure, as listed in the Alexandria database.

Computed properties:
M_tot ... 0.0 μB/f.u.
Formation energy without anion corrections ... 5.6 kJ/mol of atoms
Offset from the most stable computed form ... 0.668 eV per atom

a = 9.562 Å, b = 9.562 Å, c = 9.562 Å
α = 23.03°, β = 23.03°, γ = 23.03°
Element x y z (fractional)
Sc (0.102, 0.102, 0.102)
Sc (0.898, 0.898, 0.898)
Zn (0.000, 0.000, 0.000)
Sb (0.500, 0.500, 0.500)

=====

First-principles (GGA-PBE) data for a geometry-optimized CuRh4Au structure, as listed in the Alexandria database.

Computed properties:
M_tot ... 2.6 μB/f.u.
Energy of formation from the pure elements ... 0.440 eV/atom

a = 5.128 Å, b = 5.128 Å, c = 5.128 Å
α = 60.00°, β = 60.00°, γ = 60.00°
Element x y z (fractional)
Cu (0.000, 0.000, 0.000)
Rh (0.125, 0.625, 0.625)
Rh (0.625, 0.125, 0.625)
Rh (0.625, 0.625, 0.125)
Rh (0.625, 0.625, 0.625)
Au (0.250, 0.250, 0.250)

=====

First-principles (GGA-PBE) data for a geometry-optimized MgBrO2 structure, as listed in the Alexandria database.

Computed properties:
M_tot ... 0.0 μB/f.u.
Formation energy without anion corrections ... -40.2 kJ/mol of atoms
Offset from the most stable computed form ... 0.797 eV per atom

a = 5.140 Å, b = 5.140 Å, c = 5.140 Å
α = 107.64°, β = 107.64°, γ = 113.21°
Element x y z (fractional)
Mg (0.250, 0.750, 0.500)
Mg (0.750, 0.250, 0.500)
Br (0.250, 0.250, 0.000)
Br (0.750, 0.750, 0.000)
O (0.173, 0.673, 0.846)
O (0.327, 0.173, 0.500)
O (0.673, 0.827, 0.500)
O (0.827, 0.327, 0.154)

=====

First-principles (GGA-PBE) data for a geometry-optimized LaCoBIr2 structure, as listed in the Alexandria database.

Computed properties:
M_tot ... 0.9 μB/f.u.
Energy of formation from the pure elements ... -0.402 eV/atom

a = 4.258 Å, b = 4.258 Å, c = 4.235 Å
α = 90.00°, β = 90.00°, γ = 90.00°
Element x y z (fractional)
La (0.000, 0.000, 0.000)
Co (0.500, 0.500, 0.000)
B (0.500, 0.500, 0.500)
Ir (0.000, 0.500, 0.500)
Ir (0.500, 0.000, 0.500)

=====

First-principles (GGA-PBE) data for a geometry-optimized BaVH structure, as listed in the Alexandria database.

Computed properties:
M_tot ... 0.0 μB/f.u.
Offset from the most stable computed form ... 0.142 eV per atom

a = 4.208 Å, b = 6.613 Å, c = 6.695 Å
α = 88.54°, β = 73.89°, γ = 73.38°
Element x y z (fractional)
Ba (0.000, 0.000, 0.000)
Ba (0.038, 0.545, 0.433)
V (0.404, 0.483, 0.890)
V (0.725, 0.535, 0.008)
H (0.516, 0.777, 0.190)
H (0.708, 0.373, 0.239)

=====

First-principles (GGA-PBE) data for a geometry-optimized Fe5Ni4Ir2 structure, as listed in the Alexandria database.

Computed properties:
M_tot ... 15.2 μB/f.u.
Energy of formation from the pure elements ... 0.052 eV/atom

a = 6.184 Å, b = 2.612 Å, c = 16.728 Å
α = 90.00°, β = 92.73°, γ = 90.00°
Element x y z (fractional)
Fe (0.000, 0.000, 0.000)
Fe (0.153, 0.000, 0.411)
Fe (0.201, 0.000, 0.660)
Fe (0.329, 0.000, 0.919)
Fe (0.344, 0.000, 0.179)
Fe (0.500, 0.000, 0.500)
Fe (0.656, 0.000, 0.821)
Fe (0.671, 0.000, 0.081)
Fe (0.799, 0.000, 0.340)
Fe (0.847, 0.000, 0.589)
Ni (0.009, 0.500, 0.127)
Ni (0.174, 0.500, 0.538)
Ni (0.336, 0.500, 0.046)
Ni (0.476, 0.500, 0.365)
Ni (0.524, 0.500, 0.635)
Ni (0.664, 0.500, 0.954)
Ni (0.826, 0.500, 0.462)
Ni (0.991, 0.500, 0.873)
Ir (0.108, 0.500, 0.279)
Ir (0.316, 0.500, 0.785)
Ir (0.684, 0.500, 0.215)
Ir (0.892, 0.500, 0.721)

=====

First-principles (GGA-PBE) data for a geometry-optimized Sm2DyNpS4 structure, as listed in the Alexandria database.

Computed properties:
M_tot ... 4.4 μB/f.u.
Formation energy without anion corrections ... -179.1 kJ/mol of atoms

a = 6.852 Å, b = 3.950 Å, c = 6.872 Å
α = 90.00°, β = 109.31°, γ = 90.00°
Element x y z (fractional)
Sm (0.000, 0.000, 0.000)
Sm (0.500, 0.500, 0.000)
Dy (0.000, 0.500, 0.500)
Np (0.500, 0.000, 0.500)
S (0.246, 0.000, 0.741)
S (0.253, 0.500, 0.259)
S (0.747, 0.500, 0.741)
S (0.754, 0.000, 0.259)

=====

First-principles (GGA-PBE) data for a geometry-optimized K2YTlOs structure, as listed in the Alexandria database.

Computed properties:
M_tot ... 0.0 μB/f.u.
Energy of formation from the pure elements ... 1.324 eV/atom

a = 6.015 Å, b = 6.015 Å, c = 5.298 Å
α = 90.00°, β = 90.00°, γ = 90.00°
Element x y z (fractional)
K (0.000, 0.500, 0.000)
K (0.500, 0.000, 0.000)
Y (0.000, 0.000, 0.500)
Tl (0.500, 0.500, 0.500)
Os (0.500, 0.500, 0.000)

=====

First-principles (GGA-PBE) data for a geometry-optimized TlAgTe2 structure, as listed in the Alexandria database.

Computed properties:
M_tot ... 0.0 μB/f.u.
Formation energy without anion corrections ... -13.0 kJ/mol of atoms

a = 4.860 Å, b = 6.106 Å, c = 9.767 Å
α = 72.02°, β = 76.62°, γ = 68.57°
Element x y z (fractional)
Tl (0.025, 0.223, 0.273)
Tl (0.975, 0.777, 0.727)
Ag (0.277, 0.165, 0.817)
Ag (0.723, 0.835, 0.183)
Te (0.342, 0.721, 0.043)
Te (0.404, 0.245, 0.517)
Te (0.596, 0.755, 0.483)
Te (0.658, 0.279, 0.957)